(1)
The following is a DFT calculation (PBE) of YTi2Ni2 after structural relaxation.

Unit cell a=4.400 b=4.400 c=9.460 alpha=90.00 beta=90.00 gamma=90.00
Space group I4/mmm (No. 139)
Unique sites:
Y: 0.000 0.000 0.000
Ti: 0.000 0.000 0.351
Ni: 0.000 0.500 0.250

Values from the calculation:
- Crystal system: tetragonal
- Energy relative to the lowest polymorph listed for this composition: 229 meV/atom
- Energy: -6.837 eV/atom
- Formation energy from the elements: -0.37 eV/f.u.
- Total magnetic moment: 0.72 μB per formula unit

(2)
The following is a DFT calculation (PBE) of YTiNi after structural relaxation.

Unit cell a=3.260 b=3.260 c=10.791 alpha=90.00 beta=90.00 gamma=90.00
Space group P4/mmm (No. 123)
Unique sites:
Y: 0.000 0.000 0.161
Ti: 0.500 0.500 0.377
Ni: 0.000 0.000 0.500
Ni: 0.500 0.500 0.000

Values from the calculation:
- Crystal system: tetragonal
- Energy relative to the lowest polymorph listed for this composition: 238 meV/atom
- Energy: -6.786 eV/atom
- Formation energy from the elements: -0.22 eV/f.u.
- Total magnetic moment: 1.23 μB per formula unit

(3)
The following is a DFT calculation (PBE) of Y3TiNi after structural relaxation.

Unit cell a=5.227 b=5.227 c=5.227 alpha=90.00 beta=90.00 gamma=90.00
Space group Pm-3m (No. 221)
Unique sites:
Y: 0.000 0.000 0.500
Ti: 0.500 0.500 0.500
Ni: 0.000 0.000 0.000

Values from the calculation:
- Crystal system: cubic
- Energy relative to the lowest polymorph listed for this composition: 0 meV/atom
- Energy: -6.380 eV/atom
- Formation energy from the elements: 1.17 eV/f.u.
- Total magnetic moment: 2.69 μB per formula unit

(4)
The following is a DFT calculation (PBE) of YTi2Ni9 after structural relaxation.

Unit cell a=4.8086 b=4.8086 c=23.4047 alpha=90.00 beta=90.00 gamma=120.00
Space group R-3m (No. 166, hexagonal axes)
Unique sites:
Y: 0.0000 0.0000 0.0000
Ti: 0.0000 0.0000 0.1425
Ni: 0.0000 0.0000 0.3339
Ni: 0.0000 0.0000 0.5000
Ni: 0.0057 0.5029 0.9128

Values from the calculation:
- Crystal system: trigonal
- Energy: -6.545 eV/atom
- Formation energy from the elements: -4.26 eV/f.u.
- Total magnetic moment: 0.00 μB per formula unit